(1)
Density functional theory data (PBE) for a geometry-optimized NaHgPtPb structure.

## Properties
As for the volume: 85 Å³/cell. The calculation puts the energy of formation from the pure elements at -0.165 eV per atom. The calculation puts the spin magnetization at 0.000 μB per formula unit. As for the total energy: -0.22105 Ry per atom.

Cell lengths 4.927, 4.927, 4.927 Å; angles 60.00, 60.00, 60.00 degrees
Atoms (fractional coordinates):
1 Pb 0.000 0.000 0.000
2 Na 0.750 0.750 0.750
3 Hg 0.500 0.500 0.500
4 Pt 0.250 0.250 0.250



(2)
Density functional theory data (PBE) for a geometry-optimized SnHgI2O structure.

## Properties
As for the volume: 151 Å³/cell. The calculation puts the spin magnetization at 0.000 μB per formula unit. The excess energy over the best structure of this formula in the dataset comes out at 0 meV per atom. The value obtained for the uncorrected formation energy is -1.68 eV per formula unit. As for the total energy: -0.20642 Ry per atom.

Cell lengths 6.114, 6.114, 4.044 Å; angles 90.00, 90.00, 90.00 degrees
Atoms (fractional coordinates):
1 O 0.000 0.000 0.500
2 Sn 0.000 0.000 0.000
3 I 0.500 0.000 0.000
4 I 0.000 0.500 0.000
5 Hg 0.500 0.500 0.500